(1)
A relaxed structure of PrEu2Au. Source: the Alexandria database, functional GGA-PBE.

Cell: 3.799 3.799 11.612 Å, 80.59 80.59 60.00°
Element x y z (fractional)
Eu1 0.104 0.104 0.687
Eu2 0.896 0.896 0.313
Pr1 0.000 0.000 0.000
Au1 0.500 0.500 0.500

Output
Energy relative to the elements   -11.9 kJ per mole of atoms
Uncorrected energy   -29.098 eV per cell

=====

(2)
A relaxed structure of Tl2InAgHg. Source: the Alexandria database, functional GGA-PBE.

Cell: 5.590 5.590 5.343 Å, 90.00 90.00 90.00°
Element x y z (fractional)
Tl1 0.000 0.500 0.000
Tl2 0.500 0.000 0.000
Hg1 0.500 0.500 0.500
Ag1 0.000 0.000 0.000
In1 0.000 0.000 0.500

Output
Energy relative to the elements   19.6 kJ per mole of atoms
Uncorrected energy   -9.610 eV per cell

=====

(3)
A relaxed structure of Ta3Pd2N. Source: the Alexandria database, functional GGA-PBE.

Cell: 7.049 7.049 7.049 Å, 90.00 90.00 90.00°
Element x y z (fractional)
Ta1 0.625 0.294 0.544
Ta2 0.706 0.044 0.875
Ta3 0.544 0.625 0.294
Ta4 0.956 0.375 0.794
Ta5 0.294 0.544 0.625
Ta6 0.456 0.125 0.206
Ta7 0.044 0.875 0.706
Ta8 0.794 0.956 0.375
Ta9 0.206 0.456 0.125
Ta10 0.875 0.706 0.044
Ta11 0.375 0.794 0.956
Ta12 0.125 0.206 0.456
Pd1 0.563 0.437 0.937
Pd2 0.687 0.687 0.687
Pd3 0.937 0.563 0.437
Pd4 0.437 0.937 0.563
Pd5 0.187 0.813 0.313
Pd6 0.813 0.313 0.187
Pd7 0.313 0.187 0.813
Pd8 0.063 0.063 0.063
N1 0.875 0.125 0.625
N2 0.125 0.625 0.875
N3 0.625 0.875 0.125
N4 0.375 0.375 0.375

Output
Uncorrected energy   -231.812 eV per cell
ΔE_f (raw)   -614 meV per atom

=====

(4)
A relaxed structure of HfPaTcRh. Source: the Alexandria database, functional GGA-PBE.

Cell: 4.752 4.752 4.752 Å, 60.00 60.00 60.00°
Element x y z (fractional)
Rh1 0.000 0.000 0.000
Pa1 0.250 0.250 0.250
Hf1 0.750 0.750 0.750
Tc1 0.500 0.500 0.500

Output
Energy relative to the elements   -46.8 kJ per mole of atoms
Uncorrected energy   -39.107 eV per cell

=====

(5)
A relaxed structure of Li2TiAuO. Source: the Alexandria database, functional GGA-PBE.

Cell: 4.062 4.062 3.975 Å, 90.00 90.00 90.00°
Element x y z (fractional)
Li1 0.000 0.500 0.000
Li2 0.500 0.000 0.000
Au1 0.500 0.500 0.500
O1 0.000 0.000 0.000
Ti1 0.000 0.000 0.500

Output
Uncorrected energy   -26.002 eV per cell
ΔE_f (raw)   -1209 meV per atom

=====

(6)
A relaxed structure of TaSiW2I. Source: the Alexandria database, functional GGA-PBE.

Cell: 4.985 4.801 4.985 Å, 90.00 90.00 90.00°
Element x y z (fractional)
I1 0.500 0.500 0.500
Si1 0.000 0.500 0.000
W1 0.000 0.000 0.500
W2 0.500 0.000 0.000
Ta1 0.000 0.000 0.000

Output
Uncorrected energy   -34.711 eV per cell
ΔE_f (raw)   2004 meV per atom

=====

(7)
A relaxed structure of TlPb2Se. Source: the Alexandria database, functional GGA-PBE.

Cell: 9.632 9.632 9.632 Å, 23.36 23.36 23.36°
Element x y z (fractional)
Pb1 0.988 0.988 0.988
Pb2 0.512 0.512 0.512
Se1 0.250 0.250 0.250
Tl1 0.750 0.750 0.750

Output
Uncorrected energy   -13.799 eV per cell
ΔE_f (raw)   -133 meV per atom

=====

(8)
A relaxed structure of MoIrIN2. Source: the Alexandria database, functional GGA-PBE.

Cell: 3.887 3.887 5.920 Å, 90.00 90.00 90.00°
Element x y z (fractional)
I1 0.000 0.000 0.500
Mo1 0.000 0.000 0.000
Ir1 0.500 0.500 0.500
N1 0.000 0.500 0.000
N2 0.500 0.000 0.000

Output
Uncorrected energy   -32.081 eV per cell
ΔE_f (raw)   1162 meV per atom

=====

Q: The lowest uncorrected energy belongs to which entry?
A: Ta3Pd2N

=====

Q: Which of these has the highest uncorrected energy?
A: Tl2InAgHg

=====

Q: Among the records above, which one has the lowest uncorrected energy?
A: Ta3Pd2N